[1]
## LiPrDyPb (PBE)

Data for a relaxed LiPrDyPb crystal.

Calculated values
DOS(E_F)   3.24 states/eV/cell
SG   F-43m, No. 216
Crystal system   cubic
Formation enthalpy at 0 K   -28.51 kJ/mol of atoms

Unit cell a=5.390 b=5.390 c=5.390 alpha=60.00 beta=60.00 gamma=60.00
Fractional coordinates of all 4 atoms:
Li  0.000  0.000  0.000
Pr  0.250  0.250  0.250
Dy  0.750  0.750  0.750
Pb  0.500  0.500  0.500



[2]
## LiDyRhPb (PBE)

Data for a relaxed LiDyRhPb crystal.

Calculated values
DOS(E_F)   1.67 states/eV/cell
SG   Cm, No. 8
Crystal system   monoclinic
Formation enthalpy at 0 K   -39.01 kJ/mol of atoms

Unit cell a=5.517 b=5.517 c=4.581 alpha=106.53 beta=106.53 gamma=38.15
Fractional coordinates of all 4 atoms:
Li  0.000  0.000  0.000
Dy  0.227  0.227  0.744
Rh  0.727  0.727  0.241
Pb  0.462  0.462  0.437



[3]
## LiDyRhPb (PBE)

Data for a relaxed LiDyRhPb crystal.

Calculated values
DOS(E_F)   4.74 states/eV/cell
SG   F-43m, No. 216
Crystal system   cubic
Formation enthalpy at 0 K   -51.21 kJ/mol of atoms

Unit cell a=4.798 b=4.798 c=4.798 alpha=60.00 beta=60.00 gamma=60.00
Fractional coordinates of all 4 atoms:
Li  0.000  0.000  0.000
Dy  0.750  0.750  0.750
Rh  0.500  0.500  0.500
Pb  0.250  0.250  0.250



[4]
## LiDyRuPb (PBE)

Data for a relaxed LiDyRuPb crystal.

Calculated values
DOS(E_F)   4.36 states/eV/cell
SG   F-43m, No. 216
Crystal system   cubic
Formation enthalpy at 0 K   -20.65 kJ/mol of atoms

Unit cell a=4.793 b=4.793 c=4.793 alpha=60.00 beta=60.00 gamma=60.00
Fractional coordinates of all 4 atoms:
Li  0.000  0.000  0.000
Dy  0.750  0.750  0.750
Ru  0.500  0.500  0.500
Pb  0.250  0.250  0.250



[5]
## LiDyScPb (PBE)

Data for a relaxed LiDyScPb crystal.

Calculated values
DOS(E_F)   3.66 states/eV/cell
SG   F-43m, No. 216
Crystal system   cubic
Formation enthalpy at 0 K   -23.34 kJ/mol of atoms

Unit cell a=5.136 b=5.136 c=5.136 alpha=60.00 beta=60.00 gamma=60.00
Fractional coordinates of all 4 atoms:
Li  0.000  0.000  0.000
Dy  0.250  0.250  0.250
Sc  0.750  0.750  0.750
Pb  0.500  0.500  0.500



[6]
## Li2DySc2Pb2 (PBE)

Data for a relaxed Li2DySc2Pb2 crystal.

Calculated values
DOS(E_F)   5.63 states/eV/cell
SG   R-3m, No. 166
Crystal system   trigonal
Formation enthalpy at 0 K   -29.47 kJ/mol of atoms

Unit cell a=8.830 b=8.830 c=8.830 alpha=31.18 beta=31.18 gamma=31.18
Fractional coordinates of all 7 atoms:
Li  0.075  0.075  0.075
Li  0.925  0.925  0.925
Dy  0.500  0.500  0.500
Sc  0.366  0.366  0.366
Sc  0.634  0.634  0.634
Pb  0.240  0.240  0.240
Pb  0.760  0.760  0.760



[7]
## LiSmDyPb (PBE)

Data for a relaxed LiSmDyPb crystal.

Calculated values
DOS(E_F)   3.30 states/eV/cell
SG   F-43m, No. 216
Crystal system   cubic
Formation enthalpy at 0 K   -27.74 kJ/mol of atoms

Unit cell a=5.332 b=5.332 c=5.332 alpha=60.00 beta=60.00 gamma=60.00
Fractional coordinates of all 4 atoms:
Li  0.000  0.000  0.000
Sm  0.750  0.750  0.750
Dy  0.250  0.250  0.250
Pb  0.500  0.500  0.500



[8]
## Li2SmDy2Pb2 (PBE)

Data for a relaxed Li2SmDy2Pb2 crystal.

Calculated values
DOS(E_F)   4.36 states/eV/cell
SG   R-3m, No. 166
Crystal system   trigonal
Formation enthalpy at 0 K   -31.09 kJ/mol of atoms

Unit cell a=9.407 b=9.407 c=9.407 alpha=29.92 beta=29.92 gamma=29.92
Fractional coordinates of all 7 atoms:
Li  0.092  0.092  0.092
Li  0.908  0.908  0.908
Sm  0.500  0.500  0.500
Dy  0.370  0.370  0.370
Dy  0.630  0.630  0.630
Pb  0.237  0.237  0.237
Pb  0.763  0.763  0.763



[9]
## Li2Sm2DyPb2 (PBE)

Data for a relaxed Li2Sm2DyPb2 crystal.

Calculated values
DOS(E_F)   4.53 states/eV/cell
SG   R-3m, No. 166
Crystal system   trigonal
Formation enthalpy at 0 K   -31.15 kJ/mol of atoms

Unit cell a=9.551 b=9.551 c=9.551 alpha=29.38 beta=29.38 gamma=29.38
Fractional coordinates of all 7 atoms:
Li  0.102  0.102  0.102
Li  0.898  0.898  0.898
Sm  0.372  0.372  0.372
Sm  0.628  0.628  0.628
Dy  0.500  0.500  0.500
Pb  0.234  0.234  0.234
Pb  0.766  0.766  0.766



[10]
## LiTbDyPb (PBE)

Data for a relaxed LiTbDyPb crystal.

Calculated values
DOS(E_F)   3.51 states/eV/cell
SG   F-43m, No. 216
Crystal system   cubic
Formation enthalpy at 0 K   -26.21 kJ/mol of atoms

Unit cell a=5.289 b=5.289 c=5.289 alpha=60.00 beta=60.00 gamma=60.00
Fractional coordinates of all 4 atoms:
Li  0.000  0.000  0.000
Tb  0.750  0.750  0.750
Dy  0.250  0.250  0.250
Pb  0.500  0.500  0.500



[11]
## Li2Tb2DyPb2 (PBE)

Data for a relaxed Li2Tb2DyPb2 crystal.

Calculated values
DOS(E_F)   4.55 states/eV/cell
SG   R-3m, No. 166
Crystal system   trigonal
Formation enthalpy at 0 K   -29.75 kJ/mol of atoms

Unit cell a=9.377 b=9.377 c=9.377 alpha=29.88 beta=29.88 gamma=29.88
Fractional coordinates of all 7 atoms:
Li  0.098  0.098  0.098
Li  0.902  0.902  0.902
Tb  0.371  0.371  0.371
Tb  0.629  0.629  0.629
Dy  0.500  0.500  0.500
Pb  0.235  0.235  0.235
Pb  0.765  0.765  0.765



[12]
## Li2TbDy2Pb2 (PBE)

Data for a relaxed Li2TbDy2Pb2 crystal.

Calculated values
DOS(E_F)   4.48 states/eV/cell
SG   R-3m, No. 166
Crystal system   trigonal
Formation enthalpy at 0 K   -29.71 kJ/mol of atoms

Unit cell a=9.344 b=9.344 c=9.344 alpha=30.00 beta=30.00 gamma=30.00
Fractional coordinates of all 7 atoms:
Li  0.096  0.096  0.096
Li  0.904  0.904  0.904
Tb  0.500  0.500  0.500
Dy  0.371  0.371  0.371
Dy  0.629  0.629  0.629
Pb  0.236  0.236  0.236
Pb  0.764  0.764  0.764



[13]
## LiDyTe3Pb (PBE)

Data for a relaxed LiDyTe3Pb crystal.

Calculated values
SG   P2_1/m, No. 11
Raw formation energy   -89.4 kJ per mole of atoms
Crystal system   monoclinic

Unit cell a=9.099 b=4.401 c=9.708 alpha=90.00 beta=103.48 gamma=90.00
Fractional coordinates of all 12 atoms:
Li  0.083  0.250  0.085
Li  0.917  0.750  0.915
Dy  0.331  0.750  0.334
Dy  0.669  0.250  0.666
Te  0.104  0.250  0.374
Te  0.231  0.750  0.010
Te  0.430  0.750  0.664
Te  0.570  0.250  0.336
Te  0.769  0.250  0.990
Te  0.896  0.750  0.626
Pb  0.183  0.250  0.739
Pb  0.817  0.750  0.261



[14]
## Li2DyTh2Pb2 (PBE)

Data for a relaxed Li2DyTh2Pb2 crystal.

Calculated values
DOS(E_F)   5.80 states/eV/cell
SG   R-3m, No. 166
Crystal system   trigonal
Formation enthalpy at 0 K   -12.93 kJ/mol of atoms

Unit cell a=9.534 b=9.534 c=9.534 alpha=29.60 beta=29.60 gamma=29.60
Fractional coordinates of all 7 atoms:
Li  0.100  0.100  0.100
Li  0.900  0.900  0.900
Dy  0.500  0.500  0.500
Th  0.370  0.370  0.370
Th  0.630  0.630  0.630
Pb  0.231  0.231  0.231
Pb  0.769  0.769  0.769



[15]
## LiDyTmPb (PBE)

Data for a relaxed LiDyTmPb crystal.

Calculated values
DOS(E_F)   3.82 states/eV/cell
SG   F-43m, No. 216
Crystal system   cubic
Formation enthalpy at 0 K   -22.88 kJ/mol of atoms

Unit cell a=5.254 b=5.254 c=5.254 alpha=60.00 beta=60.00 gamma=60.00
Fractional coordinates of all 4 atoms:
Li  0.000  0.000  0.000
Dy  0.750  0.750  0.750
Tm  0.250  0.250  0.250
Pb  0.500  0.500  0.500



[16]
## Li2Dy2TmPb2 (PBE)

Data for a relaxed Li2Dy2TmPb2 crystal.

Calculated values
DOS(E_F)   4.67 states/eV/cell
SG   R-3m, No. 166
Crystal system   trigonal
Formation enthalpy at 0 K   -27.42 kJ/mol of atoms

Unit cell a=9.282 b=9.282 c=9.282 alpha=30.11 beta=30.11 gamma=30.11
Fractional coordinates of all 7 atoms:
Li  0.100  0.100  0.100
Li  0.900  0.900  0.900
Dy  0.372  0.372  0.372
Dy  0.628  0.628  0.628
Tm  0.500  0.500  0.500
Pb  0.235  0.235  0.235
Pb  0.765  0.765  0.765



[17]
## Li2DyY2Pb2 (PBE)

Data for a relaxed Li2DyY2Pb2 crystal.

Calculated values
DOS(E_F)   4.71 states/eV/cell
SG   R-3m, No. 166
Crystal system   trigonal
Formation enthalpy at 0 K   -31.19 kJ/mol of atoms

Unit cell a=9.381 b=9.381 c=9.381 alpha=29.84 beta=29.84 gamma=29.84
Fractional coordinates of all 7 atoms:
Li  0.098  0.098  0.098
Li  0.902  0.902  0.902
Dy  0.500  0.500  0.500
Y  0.371  0.371  0.371
Y  0.629  0.629  0.629
Pb  0.235  0.235  0.235
Pb  0.765  0.765  0.765



[18]
## LiDyZnPb (PBE)

Data for a relaxed LiDyZnPb crystal.

Calculated values
DOS(E_F)   1.13 states/eV/cell
SG   F-43m, No. 216
Crystal system   cubic
Formation enthalpy at 0 K   -31.75 kJ/mol of atoms

Unit cell a=5.050 b=5.050 c=5.050 alpha=60.00 beta=60.00 gamma=60.00
Fractional coordinates of all 4 atoms:
Li  0.000  0.000  0.000
Dy  0.500  0.500  0.500
Zn  0.250  0.250  0.250
Pb  0.750  0.750  0.750



[19]
## Li2DyPd3 (PBE)

Data for a relaxed Li2DyPd3 crystal.

Calculated values
DOS(E_F)   3.07 states/eV/cell
SG   P2/m, No. 10
Crystal system   monoclinic
Formation enthalpy at 0 K   -59.90 kJ/mol of atoms

Unit cell a=4.392 b=6.786 c=6.931 alpha=90.00 beta=108.40 gamma=90.00
Fractional coordinates of all 12 atoms:
Li  0.000  0.000  0.000
Li  0.000  0.500  0.000
Li  0.330  0.000  0.658
Li  0.670  0.000  0.342
Dy  0.347  0.500  0.693
Dy  0.653  0.500  0.307
Pd  0.164  0.227  0.329
Pd  0.164  0.773  0.329
Pd  0.500  0.216  0.000
Pd  0.500  0.784  0.000
Pd  0.836  0.227  0.671
Pd  0.836  0.773  0.671



[20]
## LiDy3Pd2 (PBE)

Data for a relaxed LiDy3Pd2 crystal.

Calculated values
DOS(E_F)   9.29 states/eV/cell
SG   P-3m1, No. 164
Crystal system   trigonal
Formation enthalpy at 0 K   -56.23 kJ/mol of atoms

Unit cell a=4.987 b=4.987 c=12.373 alpha=90.00 beta=90.00 gamma=120.00
Fractional coordinates of all 12 atoms:
Li  0.333  0.667  0.171
Li  0.667  0.333  0.829
Dy  0.000  0.000  0.258
Dy  0.000  0.000  0.742
Dy  0.333  0.667  0.424
Dy  0.333  0.667  0.919
Dy  0.667  0.333  0.081
Dy  0.667  0.333  0.576
Pd  0.000  0.000  0.000
Pd  0.000  0.000  0.500
Pd  0.333  0.667  0.686
Pd  0.667  0.333  0.314



[21]
## Li4DyPd7 (PBE)

Data for a relaxed Li4DyPd7 crystal.

Calculated values
DOS(E_F)   5.66 states/eV/cell
SG   C2/m, No. 12
Crystal system   monoclinic
Formation enthalpy at 0 K   -25.95 kJ/mol of atoms

Unit cell a=5.711 b=5.711 c=9.151 alpha=117.06 beta=117.06 gamma=51.66
Fractional coordinates of all 12 atoms:
Li  0.080  0.080  0.264
Li  0.226  0.226  0.823
Li  0.774  0.774  0.177
Li  0.920  0.920  0.736
Dy  0.500  0.500  0.500
Pd  0.000  0.000  0.500
Pd  0.155  0.155  0.047
Pd  0.283  0.283  0.583
Pd  0.453  0.453  0.125
Pd  0.547  0.547  0.875
Pd  0.717  0.717  0.417
Pd  0.845  0.845  0.953



[22]
## LiDy2Pd3 (PBE)

Data for a relaxed LiDy2Pd3 crystal.

Calculated values
DOS(E_F)   1.82 states/eV/cell
SG   P4/mmm, No. 123
Crystal system   tetragonal
Formation enthalpy at 0 K   -74.53 kJ/mol of atoms

Unit cell a=3.470 b=3.470 c=9.541 alpha=90.00 beta=90.00 gamma=90.00
Fractional coordinates of all 6 atoms:
Li  0.000  0.000  0.000
Dy  0.000  0.000  0.315
Dy  0.000  0.000  0.685
Pd  0.500  0.500  0.147
Pd  0.500  0.500  0.500
Pd  0.500  0.500  0.853



[23]
## Li2DyPd4 (PBE)

Data for a relaxed Li2DyPd4 crystal.

Calculated values
DOS(E_F)   3.56 states/eV/cell
SG   P1, No. 1
Crystal system   triclinic
Formation enthalpy at 0 K   -53.52 kJ/mol of atoms

Unit cell a=5.756 b=6.502 c=7.494 alpha=114.71 beta=112.29 gamma=90.09
Fractional coordinates of all 14 atoms:
Li  0.000  0.000  0.000
Li  0.122  0.633  0.243
Li  0.312  0.132  0.624
Li  0.817  0.132  0.632
Dy  0.454  0.668  0.908
Dy  0.675  0.393  0.350
Pd  0.064  0.799  0.625
Pd  0.205  0.369  0.410
Pd  0.238  0.294  0.971
Pd  0.399  0.961  0.286
Pd  0.562  0.799  0.624
Pd  0.731  0.294  0.970
Pd  0.888  0.960  0.286
Pd  0.917  0.575  0.835



[24]
## Li2Dy2Pd5 (PBE)

Data for a relaxed Li2Dy2Pd5 crystal.

Calculated values
DOS(E_F)   3.18 states/eV/cell
SG   Imma, No. 74
Crystal system   orthorhombic
Formation enthalpy at 0 K   -64.46 kJ/mol of atoms

Unit cell a=9.006 b=9.006 c=9.006 alpha=141.06 beta=59.21 gamma=137.23
Fractional coordinates of all 18 atoms:
Li  0.073  0.001  0.072
Li  0.428  0.001  0.428
Li  0.572  0.999  0.572
Li  0.927  0.999  0.928
Dy  0.000  0.500  0.500
Dy  0.249  0.499  0.750
Dy  0.500  0.500  0.000
Dy  0.751  0.501  0.250
Pd  0.122  0.000  0.622
Pd  0.122  0.500  0.122
Pd  0.249  0.999  0.250
Pd  0.378  0.000  0.878
Pd  0.378  0.500  0.378
Pd  0.622  0.000  0.122
Pd  0.622  0.500  0.622
Pd  0.751  0.001  0.750
Pd  0.878  0.000  0.378
Pd  0.878  0.500  0.878



[25]
## Li2DyPd (PBE)

Data for a relaxed Li2DyPd crystal.

Calculated values
DOS(E_F)   4.44 states/eV/cell
SG   R-3m, No. 166
Crystal system   trigonal
Formation enthalpy at 0 K   -17.60 kJ/mol of atoms

Unit cell a=4.661 b=4.661 c=4.661 alpha=59.53 beta=59.53 gamma=59.53
Fractional coordinates of all 4 atoms:
Li  0.249  0.249  0.249
Li  0.751  0.751  0.751
Dy  0.000  0.000  0.000
Pd  0.500  0.500  0.500



[26]
## LiDyPd2 (PBE)

Data for a relaxed LiDyPd2 crystal.

Calculated values
DOS(E_F)   1.07 states/eV/cell
SG   P4/mmm, No. 123
Crystal system   tetragonal
Formation enthalpy at 0 K   -67.72 kJ/mol of atoms

Unit cell a=4.267 b=4.267 c=3.885 alpha=90.00 beta=90.00 gamma=90.00
Fractional coordinates of all 4 atoms:
Li  0.000  0.000  0.000
Dy  0.500  0.500  0.000
Pd  0.000  0.500  0.500
Pd  0.500  0.000  0.500